## Np6PN12 (PBE)

Data for an optimized crystal structure of Np6PN12.

Calculated values
Its total energy is -10.47 eV/atom. Its formation energy (no corrections) is -0.841 eV per atom. The calculated density comes out at 11192 kg/m³. The volume is 241 Å³ per cell.

Cell and atoms, written as POSCAR:
```
Np6PN12
1.0
4.807 2.775 3.005
-4.807 2.775 3.005
0.000 -5.550 3.005
Np P N
6 1 12
Cartesian
-2.594 -2.343 4.547
-3.326 1.075 4.469
0.732 -3.418 4.469
-0.732 3.418 4.547
3.326 -1.075 4.547
2.594 2.343 4.469
0.000 0.000 4.508
-1.259 -3.912 3.878
-4.018 -0.866 5.138
-1.586 -0.362 3.563
-2.759 3.047 3.878
1.106 -1.192 3.563
-0.479 -1.554 5.453
0.479 1.554 3.563
-1.106 1.192 5.453
2.759 -3.047 5.138
1.586 0.362 5.453
4.018 0.866 3.878
1.259 3.912 5.138
```

## NpPN3 (PBE)

Data for an optimized crystal structure of NpPN3.

Calculated values
Its total energy is -9.54 eV/atom. Its formation energy (no corrections) is -0.873 eV per atom. The calculated density comes out at 8017 kg/m³. The volume is 385 Å³ per cell.

Cell and atoms, written as POSCAR:
```
NpPN3
1.0
5.866 -3.378 0.000
5.866 3.378 0.000
0.000 0.000 9.720
Np P N
6 6 18
Cartesian
0.000 0.000 0.000
0.000 0.000 4.860
3.864 0.000 0.000
3.864 0.000 4.860
7.868 0.000 0.000
7.868 0.000 4.860
4.381 1.974 2.430
7.350 1.974 2.430
5.866 0.601 7.290
5.866 -0.601 2.430
4.381 -1.974 7.290
7.350 -1.974 7.290
2.105 1.044 5.843
2.105 1.044 8.738
5.866 2.697 2.430
5.866 1.315 5.830
5.866 1.315 8.751
2.105 -1.044 0.982
2.105 -1.044 3.878
4.496 0.325 2.430
4.496 -0.325 7.290
7.236 0.325 2.430
7.236 -0.325 7.290
9.627 1.044 5.843
9.627 1.044 8.738
5.866 -1.315 0.970
5.866 -1.315 3.890
5.866 -2.697 7.290
9.627 -1.044 0.982
9.627 -1.044 3.878
```

## Np3PN6 (PBE)

Data for an optimized crystal structure of Np3PN6.

Calculated values
Its total energy is -10.40 eV/atom. Its formation energy (no corrections) is -0.986 eV per atom. The calculated density comes out at 10482 kg/m³. The volume is 262 Å³ per cell.

Cell and atoms, written as POSCAR:
```
Np3PN6
1.0
4.430 -5.594 0.000
4.430 5.594 0.000
0.000 0.000 5.281
Np P N
6 2 12
Cartesian
4.430 4.413 2.640
2.712 1.201 2.795
2.712 -1.201 0.154
6.147 1.201 2.795
6.147 -1.201 0.154
4.430 -4.413 0.000
4.430 2.155 0.417
4.430 -2.155 3.057
3.135 2.898 1.167
1.400 0.129 1.433
1.400 -0.129 4.073
4.430 2.332 4.052
5.725 2.898 1.167
4.430 0.604 1.000
4.430 -0.604 3.640
3.135 -2.898 3.808
4.430 -2.332 1.412
7.459 0.129 1.433
7.459 -0.129 4.073
5.725 -2.898 3.808
```

## Np2PN4 (PBE)

Data for an optimized crystal structure of Np2PN4.

Calculated values
Its total energy is -10.02 eV/atom. Its formation energy (no corrections) is -0.788 eV per atom. The calculated density comes out at 10251 kg/m³. The volume is 182 Å³ per cell.

Cell and atoms, written as POSCAR:
```
Np2PN4
1.0
5.302 0.000 0.000
0.000 5.443 0.000
-2.180 0.000 6.298
Np P N
4 2 8
Cartesian
0.968 1.361 0.202
0.337 1.361 3.610
2.785 4.083 2.688
2.154 4.083 6.096
-0.487 4.083 4.997
3.608 1.361 1.300
-1.438 2.795 4.624
-1.438 5.370 4.624
1.954 4.083 0.350
0.914 4.083 4.103
2.208 1.361 2.195
1.168 1.361 5.948
4.560 0.073 1.673
4.560 2.649 1.673
```